Below is KBaV after structural relaxation, with properties calculated at the PBE level.

Results
Relative energy among the computed polymorphs, meV/atom: 556
Total moment, μB per cell: 3.9

POSCAR file:
```
KBaV
1.0
5.372 -3.101 0.000
0.000 6.203 0.000
0.000 0.000 3.553
K Ba V
1 1 1
Direct
0.667 0.333 0.500
0.000 0.000 0.000
0.333 0.667 0.000
```

Below is KBaV after structural relaxation, with properties calculated at the PBE level.

Results
Relative energy among the computed polymorphs, meV/atom: 168
Total moment, μB per cell: 0.0

POSCAR file:
```
KBaV
1.0
-4.164 -18.639 4.540
-3.041 -9.499 -1.501
4.980 7.659 -4.274
K Ba V
2 2 2
Direct
0.239 0.517 0.483
0.234 0.745 0.255
0.725 0.600 0.400
0.756 0.831 0.169
0.751 0.398 0.602
0.150 0.018 0.982
```

Below is KBaVW2 after structural relaxation, with properties calculated at the PBE level.

Results
Total moment, μB per cell: 0.1

POSCAR file:
```
KBaVW2
1.0
-1.721 3.365 3.551
-4.310 0.450 -2.516
-2.009 -3.919 2.739
K Ba W V
1 1 2 1
Direct
0.500 0.500 0.500
0.000 0.000 0.000
0.000 0.000 0.500
0.500 0.000 0.000
0.000 0.500 0.000
```

Below is K2BaW after structural relaxation, with properties calculated at the PBE level.

Results
Relative energy among the computed polymorphs, meV/atom: 27
Total moment, μB per cell: 0.8

POSCAR file:
```
K2BaW
1.0
10.547 -0.007 -0.006
10.025 3.278 -0.006
1.440 0.229 5.286
Ba K W
1 2 1
Direct
0.250 0.250 0.250
0.091 0.091 0.910
0.409 0.409 0.590
0.750 0.750 0.750
```

Below is K2BaW after structural relaxation, with properties calculated at the PBE level.

Results
Relative energy among the computed polymorphs, meV/atom: 282
Total moment, μB per cell: 0.7

POSCAR file:
```
K2BaW
1.0
-10.099 -7.939 5.733
-7.689 -10.156 5.969
-8.101 -7.921 8.338
Ba K W
1 2 1
Direct
0.750 0.750 0.750
0.987 0.987 0.987
0.513 0.513 0.513
0.250 0.250 0.250
```

Below is KBaW after structural relaxation, with properties calculated at the PBE level.

Results
Relative energy among the computed polymorphs, meV/atom: 346
Total moment, μB per cell: 4.9

POSCAR file:
```
KBaW
1.0
-1.103 -5.777 -0.047
3.197 -3.576 -3.403
3.823 -3.743 2.442
Ba K W
1 1 1
Direct
0.000 0.000 0.000
0.500 0.500 0.500
0.750 0.750 0.750
```

ΔE_f values, unit meV/atom, following the record order: 1041, 653, 3247, 1273, 1529, 1839.